(1)
The following is a GGA-PBE calculation of an optimized crystal structure of LiCo2Ru, from Alexandria via LeMat-Bulk.

**Volume**: 96 Å³/cell
**Space-group type**: Cm (8)
**Crystal system**: monoclinic

a = 9.1122 Å, b = 2.5806 Å, c = 4.3857 Å
α = 90.00°, β = 110.79°, γ = 90.00°
Closest atoms and distances in Å follow each position.
Element x y z (fractional)
Li1 0.0000 0.0000 0.0000  7 Co 2.48-2.59, 2 Li 2.58, 1 Ru 2.76
Li2 0.5000 0.5000 0.0000  7 Co 2.48-2.59, 2 Li 2.58, 1 Ru 2.76
Co1 0.2598 0.5000 0.1412  4 Co 2.39-2.58, 3 Li 2.48-2.57, 4 Ru 2.52-2.61
Co2 0.4749 0.0000 0.4899  4 Co 2.39-2.58, 3 Ru 2.46-2.59, 4 Li 2.52-2.59
Co3 0.7598 0.0000 0.1412  4 Co 2.39-2.58, 3 Li 2.48-2.57, 4 Ru 2.52-2.61
Co4 0.9749 0.5000 0.4899  4 Co 2.39-2.58, 3 Ru 2.46-2.59, 4 Li 2.52-2.59
Ru1 0.2197 0.0000 0.6237  7 Co 2.46-2.61, 2 Ru 2.58
Ru2 0.7197 0.5000 0.6237  7 Co 2.46-2.61, 2 Ru 2.58

---

(2)
The following is a GGA-PBE calculation of an optimized crystal structure of LiCoRu2, from Alexandria via LeMat-Bulk.

**Volume**: 99 Å³/cell
**Space-group type**: I4/mmm (139)
**Crystal system**: tetragonal

a = 3.6245 Å, b = 3.6245 Å, c = 7.5310 Å
α = 90.00°, β = 90.00°, γ = 90.00°
Closest atoms and distances in Å follow each position.
Element x y z (fractional)
Li1 0.0000 0.0000 0.0000  4 Co 2.56, 8 Ru 2.61
Li2 0.5000 0.5000 0.5000  4 Co 2.56, 8 Ru 2.61
Co1 0.0000 0.0000 0.5000  4 Li 2.56, 8 Ru 2.61
Co2 0.5000 0.5000 0.0000  4 Li 2.56, 8 Ru 2.61
Ru1 0.0000 0.5000 0.2500  4 Ru 2.56, 4 Li 2.61, 4 Co 2.61
Ru2 0.0000 0.5000 0.7500  4 Ru 2.56, 4 Co 2.61, 4 Li 2.61
Ru3 0.5000 0.0000 0.2500  4 Ru 2.56, 4 Li 2.61, 4 Co 2.61
Ru4 0.5000 0.0000 0.7500  4 Ru 2.56, 4 Co 2.61, 4 Li 2.61

---

(3)
The following is a GGA-PBE calculation of an optimized crystal structure of LiCoRu2, from Alexandria via LeMat-Bulk.

**Volume**: 204 Å³/cell
**Space-group type**: F-43m (216)
**Crystal system**: cubic

a = 5.8822 Å, b = 5.8822 Å, c = 5.8822 Å
α = 90.00°, β = 90.00°, γ = 90.00°
Closest atoms and distances in Å follow each position.
Element x y z (fractional)
Li1 0.0000 0.0000 0.0000  4 Co 2.55, 4 Ru 2.55
Li2 0.0000 0.5000 0.5000  4 Co 2.55, 4 Ru 2.55
Li3 0.5000 0.0000 0.5000  4 Co 2.55, 4 Ru 2.55
Li4 0.5000 0.5000 0.0000  4 Co 2.55, 4 Ru 2.55
Co1 0.2500 0.2500 0.7500  4 Li 2.55, 4 Ru 2.55
Co2 0.2500 0.7500 0.2500  4 Li 2.55, 4 Ru 2.55
Co3 0.7500 0.2500 0.2500  4 Li 2.55, 4 Ru 2.55
Co4 0.7500 0.7500 0.7500  4 Li 2.55, 4 Ru 2.55
Ru1 0.0000 0.0000 0.5000  4 Co 2.55, 4 Ru 2.55
Ru2 0.0000 0.5000 0.0000  4 Co 2.55, 4 Ru 2.55
Ru3 0.2500 0.2500 0.2500  4 Li 2.55, 4 Ru 2.55
Ru4 0.2500 0.7500 0.7500  4 Li 2.55, 4 Ru 2.55
Ru5 0.5000 0.0000 0.0000  4 Co 2.55, 4 Ru 2.55
Ru6 0.5000 0.5000 0.5000  4 Co 2.55, 4 Ru 2.55
Ru7 0.7500 0.2500 0.7500  4 Li 2.55, 4 Ru 2.55
Ru8 0.7500 0.7500 0.2500  4 Li 2.55, 4 Ru 2.55

---

(4)
The following is a GGA-PBE calculation of an optimized crystal structure of LiCoRu, from Alexandria via LeMat-Bulk.

**Volume**: 71 Å³/cell
**Space-group type**: P-1 (2)
**Crystal system**: triclinic

a = 4.3307 Å, b = 4.5022 Å, c = 4.8164 Å
α = 93.22°, β = 114.41°, γ = 118.63°
Closest atoms and distances in Å follow each position.
Element x y z (fractional)
Li1 0.1769 0.2602 0.2358  2 Li 2.47-2.58, 5 Co 2.47-2.69, 5 Ru 2.52-2.66
Li2 0.8231 0.7398 0.7642  2 Li 2.47-2.58, 5 Co 2.47-2.69, 5 Ru 2.52-2.66
Co1 0.1636 0.4139 0.7472  5 Ru 2.45-2.63, 5 Li 2.47-2.69, 2 Co 2.60
Co2 0.8364 0.5861 0.2528  5 Ru 2.45-2.63, 5 Li 2.47-2.69, 2 Co 2.60
Ru1 0.4696 0.0783 0.7429  5 Co 2.45-2.63, 5 Li 2.52-2.66, 2 Ru 2.56
Ru2 0.5304 0.9217 0.2571  5 Co 2.45-2.63, 5 Li 2.52-2.66, 2 Ru 2.56

---

(5)
The following is a GGA-PBE calculation of an optimized crystal structure of LiCoRu2, from Alexandria via LeMat-Bulk.

**Volume**: 102 Å³/cell
**Space-group type**: Cm (8)
**Crystal system**: monoclinic

a = 8.7181 Å, b = 2.6164 Å, c = 4.5099 Å
α = 90.00°, β = 98.64°, γ = 90.00°
Closest atoms and distances in Å follow each position.
Element x y z (fractional)
Li1 0.0000 0.0000 0.0000  3 Co 2.47-2.62, 7 Ru 2.60-2.76, 2 Li 2.62
Li2 0.5000 0.5000 0.0000  3 Co 2.47-2.62, 7 Ru 2.60-2.76, 2 Li 2.62
Co1 0.2466 0.0000 0.7908  3 Li 2.47-2.62, 6 Ru 2.58-2.64, 2 Co 2.62
Co2 0.7466 0.5000 0.7908  3 Li 2.47-2.62, 6 Ru 2.58-2.64, 2 Co 2.62
Ru1 0.0092 0.5000 0.5049  5 Ru 2.53-2.62, 4 Li 2.60-2.62, 3 Co 2.62-2.79
Ru2 0.2596 0.5000 0.2869  5 Ru 2.53-2.62, 4 Co 2.58-2.64, 3 Li 2.62-2.76
Ru3 0.5092 0.0000 0.5049  5 Ru 2.53-2.62, 4 Li 2.60-2.62, 3 Co 2.62-2.79
Ru4 0.7596 0.0000 0.2869  5 Ru 2.53-2.62, 4 Co 2.58-2.64, 3 Li 2.62-2.76

---

(6)
The following is a GGA-PBE calculation of an optimized crystal structure of LiCoRu, from Alexandria via LeMat-Bulk.

**Volume**: 147 Å³/cell
**Space-group type**: Amm2 (38)
**Crystal system**: orthorhombic

a = 4.2475 Å, b = 7.4127 Å, c = 4.6774 Å
α = 90.00°, β = 90.00°, γ = 90.00°
Closest atoms and distances in Å follow each position.
Element x y z (fractional)
Li1 0.0000 0.0000 0.0000  6 Co 2.49-2.65, 2 Li 2.49, 4 Ru 2.67
Li2 0.0000 0.5000 0.5000  6 Co 2.49-2.65, 2 Li 2.49, 4 Ru 2.67
Li3 0.5000 0.0000 0.2796  6 Ru 2.49-2.67, 2 Li 2.49, 4 Co 2.65
Li4 0.5000 0.5000 0.7796  6 Ru 2.49-2.67, 2 Li 2.49, 4 Co 2.65
Co1 0.0000 0.1638 0.4968  3 Co 2.43-2.67, 4 Ru 2.49-2.69, 5 Li 2.49-2.65
Co2 0.0000 0.3362 0.9968  3 Co 2.43-2.67, 4 Ru 2.49-2.69, 5 Li 2.49-2.65
Co3 0.0000 0.6638 0.9968  3 Co 2.43-2.67, 4 Ru 2.49-2.69, 5 Li 2.49-2.65
Co4 0.0000 0.8362 0.4968  3 Co 2.43-2.67, 4 Ru 2.49-2.69, 5 Li 2.49-2.65
Ru1 0.5000 0.1644 0.7727  3 Ru 2.44-2.66, 4 Co 2.49-2.69, 5 Li 2.49-2.67
Ru2 0.5000 0.3356 0.2727  3 Ru 2.44-2.66, 4 Co 2.49-2.69, 5 Li 2.49-2.67
Ru3 0.5000 0.6644 0.2727  3 Ru 2.44-2.66, 4 Co 2.49-2.69, 5 Li 2.49-2.67
Ru4 0.5000 0.8356 0.7727  3 Ru 2.44-2.66, 4 Co 2.49-2.69, 5 Li 2.49-2.67

---

(7)
The following is a GGA-PBE calculation of an optimized crystal structure of LiCoRu, from Alexandria via LeMat-Bulk.

**Volume**: 142 Å³/cell
**Space-group type**: Cc (9)
**Crystal system**: monoclinic

a = 7.6572 Å, b = 4.4492 Å, c = 4.8195 Å
α = 90.00°, β = 120.31°, γ = 90.00°
Closest atoms and distances in Å follow each position.
Element x y z (fractional)
Li1 0.0000 0.0898 0.0000  5 Co 2.50-2.65, 5 Ru 2.51-2.60, 2 Li 2.54
Li2 0.0000 0.9102 0.5000  5 Co 2.50-2.65, 5 Ru 2.51-2.60, 2 Li 2.54
Li3 0.5000 0.4102 0.5000  5 Co 2.50-2.65, 5 Ru 2.51-2.60, 2 Li 2.54
Li4 0.5000 0.5898 0.0000  5 Co 2.50-2.65, 5 Ru 2.51-2.60, 2 Li 2.54
Co1 0.1649 0.4286 0.4800  5 Ru 2.47-2.67, 2 Co 2.49, 5 Li 2.50-2.65
Co2 0.1649 0.5714 0.9800  5 Ru 2.47-2.67, 2 Co 2.49, 5 Li 2.50-2.65
Co3 0.6649 0.0714 0.9800  5 Ru 2.47-2.67, 2 Co 2.49, 5 Li 2.50-2.65
Co4 0.6649 0.9286 0.4800  5 Ru 2.47-2.67, 2 Co 2.49, 5 Li 2.50-2.65
Ru1 0.3325 0.0977 0.9773  5 Co 2.47-2.67, 5 Li 2.51-2.60, 2 Ru 2.56
Ru2 0.3325 0.9023 0.4773  5 Co 2.47-2.67, 5 Li 2.51-2.60, 2 Ru 2.56
Ru3 0.8325 0.4023 0.4773  5 Co 2.47-2.67, 5 Li 2.51-2.60, 2 Ru 2.56
Ru4 0.8325 0.5977 0.9773  5 Co 2.47-2.67, 5 Li 2.51-2.60, 2 Ru 2.56

---

(8)
The following is a GGA-PBE calculation of an optimized crystal structure of LiCo2Ru, from Alexandria via LeMat-Bulk.

**Volume**: 97 Å³/cell
**Space-group type**: Cmmm (65)
**Crystal system**: orthorhombic

a = 5.1442 Å, b = 7.4153 Å, c = 2.5306 Å
α = 90.00°, β = 90.00°, γ = 90.00°
Closest atoms and distances in Å follow each position.
Element x y z (fractional)
Li1 0.0000 0.0000 0.0000  2 Li 2.53, 2 Ru 2.57, 8 Co 2.59
Li2 0.5000 0.5000 0.0000  2 Li 2.53, 2 Ru 2.57, 8 Co 2.59
Co1 0.2500 0.2500 0.5000  4 Co 2.53-2.57, 4 Li 2.59, 4 Ru 2.59
Co2 0.2500 0.7500 0.5000  4 Co 2.53-2.57, 4 Li 2.59, 4 Ru 2.59
Co3 0.7500 0.2500 0.5000  4 Co 2.53-2.57, 4 Li 2.59, 4 Ru 2.59
Co4 0.7500 0.7500 0.5000  4 Co 2.53-2.57, 4 Li 2.59, 4 Ru 2.59
Ru1 0.0000 0.5000 0.0000  2 Ru 2.53, 2 Li 2.57, 8 Co 2.59
Ru2 0.5000 0.0000 0.0000  2 Ru 2.53, 2 Li 2.57, 8 Co 2.59

---

(9)
The following is a GGA-PBE calculation of an optimized crystal structure of LiCo2Ru, from Alexandria via LeMat-Bulk.

**Volume**: 95 Å³/cell
**Space-group type**: Immm (71)
**Crystal system**: orthorhombic

a = 2.7848 Å, b = 4.1042 Å, c = 8.2901 Å
α = 90.00°, β = 90.00°, γ = 90.00°
Closest atoms and distances in Å follow each position.
Element x y z (fractional)
Li1 0.0000 0.0000 0.0000  4 Ru 2.48, 4 Co 2.50
Li2 0.5000 0.5000 0.5000  4 Ru 2.48, 4 Co 2.50
Co1 0.0000 0.5000 0.2490  4 Co 2.48, 2 Ru 2.49, 2 Li 2.50
Co2 0.0000 0.5000 0.7510  4 Co 2.48, 2 Ru 2.49, 2 Li 2.50
Co3 0.5000 0.0000 0.2510  4 Co 2.48, 2 Ru 2.49, 2 Li 2.50
Co4 0.5000 0.0000 0.7490  4 Co 2.48, 2 Ru 2.49, 2 Li 2.50
Ru1 0.0000 0.0000 0.5000  4 Li 2.48, 4 Co 2.49
Ru2 0.5000 0.5000 0.0000  4 Li 2.48, 4 Co 2.49

---

(10)
The following is a GGA-PBE calculation of an optimized crystal structure of LiCo2Ru, from Alexandria via LeMat-Bulk.

**Volume**: 151 Å³/cell
**Space-group type**: R-3m (166)
**Crystal system**: trigonal

a = 2.5951 Å, b = 2.5951 Å, c = 25.8270 Å
α = 90.00°, β = 90.00°, γ = 120.00°
Closest atoms and distances in Å follow each position.
Element x y z (fractional)
Li1 0.0000 0.0000 0.0000  6 Li 2.60, 6 Co 2.67
Li2 0.3333 0.6667 0.6667  6 Li 2.60, 6 Co 2.67
Li3 0.6667 0.3333 0.3333  6 Li 2.60, 6 Co 2.67
Co1 0.0000 0.0000 0.2476  3 Ru 2.57, 6 Co 2.60, 3 Li 2.67
Co2 0.0000 0.0000 0.7524  3 Ru 2.57, 6 Co 2.60, 3 Li 2.67
Co3 0.3333 0.6667 0.4191  3 Ru 2.57, 6 Co 2.60, 3 Li 2.67
Co4 0.3333 0.6667 0.9142  3 Ru 2.57, 6 Co 2.60, 3 Li 2.67
Co5 0.6667 0.3333 0.0858  3 Ru 2.57, 6 Co 2.60, 3 Li 2.67
Co6 0.6667 0.3333 0.5809  3 Ru 2.57, 6 Co 2.60, 3 Li 2.67
Ru1 0.0000 0.0000 0.5000  6 Co 2.57, 6 Ru 2.60
Ru2 0.3333 0.6667 0.1667  6 Co 2.57, 6 Ru 2.60
Ru3 0.6667 0.3333 0.8333  6 Co 2.57, 6 Ru 2.60

---

(11)
The following is a GGA-PBE calculation of an optimized crystal structure of LiCo2Ru, from Alexandria via LeMat-Bulk.

**Volume**: 102 Å³/cell
**Space-group type**: Cmmm (65)
**Crystal system**: orthorhombic

a = 2.6949 Å, b = 4.3301 Å, c = 8.7372 Å
α = 90.00°, β = 90.00°, γ = 90.00°
Closest atoms and distances in Å follow each position.
Element x y z (fractional)
Li1 0.0000 0.0000 0.0000  6 Li 2.55-2.69, 4 Co 2.58
Li2 0.5000 0.5000 0.0000  6 Li 2.55-2.69, 4 Co 2.58
Co1 0.0000 0.5000 0.2523  2 Ru 2.55, 6 Co 2.55-2.69, 2 Li 2.58
Co2 0.0000 0.5000 0.7477  2 Ru 2.55, 6 Co 2.55-2.69, 2 Li 2.58
Co3 0.5000 0.0000 0.2523  2 Ru 2.55, 6 Co 2.55-2.69, 2 Li 2.58
Co4 0.5000 0.0000 0.7477  2 Ru 2.55, 6 Co 2.55-2.69, 2 Li 2.58
Ru1 0.0000 0.0000 0.5000  4 Co 2.55, 6 Ru 2.55-2.69
Ru2 0.5000 0.5000 0.5000  4 Co 2.55, 6 Ru 2.55-2.69

---

(12)
The following is a GGA-PBE calculation of an optimized crystal structure of LiCoRu4, from Alexandria via LeMat-Bulk.

**Volume**: 91 Å³/cell
**Space-group type**: F-43m (216)
**Crystal system**: cubic

a = 5.0502 Å, b = 5.0502 Å, c = 5.0502 Å
α = 60.00°, β = 60.00°, γ = 60.00°
Closest atoms and distances in Å follow each position.
Element x y z (fractional)
Li1 0.0000 0.0000 0.0000  12 Ru 2.96, 4 Co 3.09
Co1 0.2500 0.2500 0.2500  12 Ru 2.96, 4 Li 3.09
Ru1 0.1250 0.6250 0.6250  6 Ru 2.52-2.53
Ru2 0.6250 0.1250 0.6250  6 Ru 2.52-2.53
Ru3 0.6250 0.6250 0.1250  6 Ru 2.52-2.53
Ru4 0.6250 0.6250 0.6250  6 Ru 2.52-2.53

---

(13)
The following is a GGA-PBE calculation of an optimized crystal structure of LiCoRu, from Alexandria via LeMat-Bulk.

**Volume**: 76 Å³/cell
**Space-group type**: Fmmm (69)
**Crystal system**: orthorhombic

a = 5.7284 Å, b = 4.7110 Å, c = 4.6228 Å
α = 75.71°, β = 52.84°, γ = 51.45°
Closest atoms and distances in Å follow each position.
Element x y z (fractional)
Li1 0.1541 0.8459 0.1541  1 Li 2.47, 4 Co 2.48
Li2 0.8459 0.1541 0.8459  1 Li 2.47, 4 Co 2.48
Co1 0.2500 0.2500 0.2500  2 Co 2.32, 4 Ru 2.46, 4 Li 2.48
Co2 0.7500 0.7500 0.7500  2 Co 2.32, 4 Ru 2.46, 4 Li 2.48
Ru1 0.3530 0.3530 0.6470  1 Ru 2.41, 4 Co 2.46
Ru2 0.6470 0.6470 0.3530  1 Ru 2.41, 4 Co 2.46

---

(14)
The following is a GGA-PBE calculation of an optimized crystal structure of LiCoRu, from Alexandria via LeMat-Bulk.

**Volume**: 72 Å³/cell
**Space-group type**: P6/mmm (191)
**Crystal system**: hexagonal

a = 4.1238 Å, b = 4.1238 Å, c = 4.8895 Å
α = 90.00°, β = 90.00°, γ = 120.00°
Closest atoms and distances in Å follow each position.
Element x y z (fractional)
Li1 0.3333 0.6667 0.0000  3 Li 2.38, 2 Co 2.44, 6 Ru 2.66
Li2 0.6667 0.3333 0.0000  3 Li 2.38, 2 Co 2.44, 6 Ru 2.66
Co1 0.3333 0.6667 0.5000  3 Co 2.38, 2 Li 2.44
Co2 0.6667 0.3333 0.5000  3 Co 2.38, 2 Li 2.44
Ru1 0.0000 0.0000 0.2446  2 Ru 2.39-2.50, 6 Li 2.66
Ru2 0.0000 0.0000 0.7554  2 Ru 2.39-2.50, 6 Li 2.66

---

(15)
The following is a GGA-PBE calculation of an optimized crystal structure of LiCoRu, from Alexandria via LeMat-Bulk.

**Volume**: 148 Å³/cell
**Space-group type**: Cm (8)
**Crystal system**: monoclinic

a = 8.0229 Å, b = 3.8512 Å, c = 4.9553 Å
α = 90.00°, β = 104.42°, γ = 90.00°
Closest atoms and distances in Å follow each position.
Element x y z (fractional)
Li1 0.0000 0.0000 0.0000  2 Li 2.39, 4 Co 2.48-2.65, 2 Ru 2.64
Li2 0.1472 0.5000 0.8896  2 Li 2.39, 2 Ru 2.46-2.52, 3 Co 2.58-2.65
Li3 0.5000 0.5000 0.0000  2 Li 2.39, 4 Co 2.48-2.65, 2 Ru 2.64
Li4 0.6472 0.0000 0.8896  2 Li 2.39, 2 Ru 2.46-2.52, 3 Co 2.58-2.65
Co1 0.3069 0.0000 0.7158  4 Ru 2.43-2.58, 1 Co 2.45, 5 Li 2.58-2.65
Co2 0.4974 0.5000 0.4988  1 Co 2.45, 5 Ru 2.47-2.53, 2 Li 2.48
Co3 0.8069 0.5000 0.7158  4 Ru 2.43-2.58, 1 Co 2.45, 5 Li 2.58-2.65
Co4 0.9974 0.0000 0.4988  1 Co 2.45, 5 Ru 2.47-2.53, 2 Li 2.48
Ru1 0.1802 0.5000 0.4092  2 Li 2.46-2.52, 5 Co 2.47-2.53, 3 Ru 2.57-2.67
Ru2 0.3515 0.0000 0.2189  4 Co 2.43-2.58, 3 Ru 2.57-2.67, 2 Li 2.64
Ru3 0.6802 0.0000 0.4092  2 Li 2.46-2.52, 5 Co 2.47-2.53, 3 Ru 2.57-2.67
Ru4 0.8515 0.5000 0.2189  4 Co 2.43-2.58, 3 Ru 2.57-2.67, 2 Li 2.64

---

no.,N(E_F) (states/eV/cell),formation enthalpy at 0 K (meV per atom)
1,9.39,175
2,8.52,272
3,11.64,225
4,5.39,213
5,10.42,217
6,13.33,199
7,9.64,214
8,11.42,198
9,9.37,251
10,15.22,230
11,10.25,305
12,9.09,636
13,5.79,138
14,7.13,175
15,12.06,207